Compound: Sb2TeSe
Source: Alexandria
Functional: GGA-PBE
Structure: relaxed

Geometry as POSCAR:
```
Sb2TeSe
1.0
3.9981 0.0000 0.0000
1.9991 3.4625 0.0000
1.9991 1.1542 8.2209
Sb Te Se
2 1 1
Direct
0.0783 0.0783 0.7650
0.2550 0.2550 0.2351
0.4973 0.4973 0.5080
0.6694 0.6694 0.9918
```

## Properties
Spin magnetization: 0.00 μB/cell
Uncorrected energy: -3.684 eV per atom
Polymorph energy (0 for the lowest one): 0.0675 eV per atom
Space group: R3m, No. 160
Formation energy from raw total energies: 0.1 eV/f.u.